Record 1
# Ta2CdCo, single point on PBEsol structure, DFT meta-GGA SCAN
# N(E_F): 2.71 states/eV/cell
# ΔE_f: 0.204 eV per atom
# ρ: 14.01 Mg/m³
# VASP energy: -45.017 eV/atom
data_Ta2CdCo
_chemical_formula_sum 'Ta2 Cd1 Co1'
_space_group_name_H-M_alt 'P 4/m m m'
_space_group_IT_number 123
_space_group_name_Hall '-P 4 2'
_cell_length_a 3.921
_cell_length_b 3.921
_cell_length_c 4.111
_cell_angle_alpha 90.00
_cell_angle_beta 90.00
_cell_angle_gamma 90.00
loop_
_atom_site_label
_atom_site_type_symbol
_atom_site_fract_x
_atom_site_fract_y
_atom_site_fract_z
_atom_site_occupancy
Ta1 Ta 0.000 0.500 0.000 1
Cd1 Cd 0.000 0.000 0.500 1
Co1 Co 0.500 0.500 0.500 1



Record 2
# TaCdCo2, single point on PBEsol structure, DFT meta-GGA SCAN
# N(E_F): 2.33 states/eV/cell
# ΔE_f: 0.186 eV per atom
# ρ: 12.41 Mg/m³
# VASP energy: -32.715 eV/atom
data_TaCdCo2
_chemical_formula_sum 'Ta1 Cd1 Co2'
_space_group_name_H-M_alt 'P 4/m m m'
_space_group_IT_number 123
_space_group_name_Hall '-P 4 2'
_cell_length_a 4.239
_cell_length_b 4.239
_cell_length_c 3.063
_cell_angle_alpha 90.00
_cell_angle_beta 90.00
_cell_angle_gamma 90.00
loop_
_atom_site_label
_atom_site_type_symbol
_atom_site_fract_x
_atom_site_fract_y
_atom_site_fract_z
_atom_site_occupancy
Ta1 Ta 0.000 0.000 0.000 1
Cd1 Cd 0.500 0.500 0.000 1
Co1 Co 0.000 0.500 0.500 1